Here is a geometry-optimized Hf2MgSc structure from Alexandria. Energies are from PBE.

Summary:
- M_tot: 0.00 μB per formula unit
- Formation enthalpy at 0 K: 11.5 kJ/mol of atoms
- Calculated total energy: -6.84 eV per atom
- DOS at the Fermi energy: 5.6 states/eV/f.u.
- Space-group type: P4/mmm (123)

extended XYZ file:
```
4
Lattice="4.425 0.000 0.000 0.000 4.425 0.000 0.000 0.000 4.544" Properties=species:S:1:pos:R:3 pbc="T T T"
Hf 0.000 2.212 0.000
Hf 2.212 0.000 0.000
Mg 0.000 0.000 2.272
Sc 2.212 2.212 2.272
```

***

Here is a geometry-optimized SrFePb structure from Alexandria. Energies are from PBE.

Summary:
- M_tot: 2.86 μB per formula unit
- Formation enthalpy at 0 K: 16.7 kJ/mol of atoms
- Calculated total energy: -4.44 eV per atom
- DOS at the Fermi energy: 6.1 states/eV/f.u.
- Space-group type: P-6m2 (187)

extended XYZ file:
```
3
Lattice="4.752 0.000 0.000 -2.376 4.115 0.000 0.000 0.000 4.307" Properties=species:S:1:pos:R:3 pbc="T T T"
Sr 0.000 0.000 0.000
Fe 0.000 2.744 2.154
Pb 2.376 1.372 2.154
```

***

Q: Look up the DOS at the Fermi energy of the first one.
A: 5.6 states/eV/f.u.